A relaxed KTiGeO2 crystal, computed with PBE.

Structure (POSCAR):
```
KTiGeO2
1.0
-0.2884 1.9170 -3.9112
0.2386 -4.6910 -2.3168
-4.3512 -0.3058 0.1710
Ge K Ti O
1 1 1 2
direct
0.0000 0.5000 0.0000
0.0000 0.0000 0.0000
0.5000 0.5000 0.5000
0.0000 0.0000 0.5000
0.5000 0.0000 0.0000
```

**Fermi-level density of states**: 1.05 states/eV/atom
**E_form (uncorrected)**: 963 meV/atom
**Total magnetic moment**: 1.02 Bohr magnetons per cell
**E_tot**: -3.74 eV/atom